Here is a relaxed Pu2GaNi3Ge4 crystal from the Alexandria database. Energies are from PBE.

Output
Calculated formation energy: -0.456 eV per atom
E_tot: -72.066 eV/cell

Cell: 4.1208 4.1208 10.0021 Å, 90.00 90.00 90.00°
With the nearest neighbours (Å) after each atom.
Fractional positions:
Pu: 0.0000 0.5000 0.7576  8 Ge 3.11-3.18, 6 Ni 3.16-3.30, 2 Ga 3.30
Ni: 0.5000 0.0000 0.8803  5 Ge 2.32-2.38
Ni: 0.0000 0.0000 0.5000  4 Ge 2.54
Ge: 0.0000 0.5000 0.3520  3 Ni 2.32-2.54, 2 Ga 2.54
Ge: 0.5000 0.0000 0.6480  3 Ni 2.32-2.54, 2 Ga 2.54
Pu: 0.5000 0.0000 0.2424  8 Ge 3.11-3.18, 6 Ni 3.16-3.30, 2 Ga 3.30
Ge: 0.0000 0.0000 0.0000  4 Ni 2.38
Ga: 0.5000 0.5000 0.5000  4 Ge 2.54
Ge: 0.5000 0.5000 0.0000  4 Ni 2.38
Ni: 0.0000 0.5000 0.1197  5 Ge 2.32-2.38

Here is a relaxed Pu2GaNi4Ge3 crystal from the Alexandria database. Energies are from PBE.

Output
Calculated formation energy: -0.492 eV per atom
E_tot: -73.584 eV/cell

Cell: 4.0890 4.0890 9.7788 Å, 90.00 90.00 90.00°
With the nearest neighbours (Å) after each atom.
Fractional positions:
Pu: 0.5000 0.0000 0.2474  6 Ge 3.12-3.21, 8 Ni 3.12-3.17, 2 Ga 3.21
Ni: 0.0000 0.5000 0.3684  3 Ge 2.34-2.42, 2 Ga 2.42
Ge: 0.0000 0.5000 0.1286  5 Ni 2.34-2.40
Ni: 0.0000 0.0000 0.0000  4 Ge 2.40
Ge: 0.0000 0.0000 0.5000  4 Ni 2.42
Ni: 0.5000 0.5000 0.0000  4 Ge 2.40
Ga: 0.5000 0.5000 0.5000  4 Ni 2.42
Ni: 0.5000 0.0000 0.6316  3 Ge 2.34-2.42, 2 Ga 2.42
Ge: 0.5000 0.0000 0.8714  5 Ni 2.34-2.40
Pu: 0.0000 0.5000 0.7526  6 Ge 3.12-3.21, 8 Ni 3.12-3.17, 2 Ga 3.21

Here is a relaxed Pu2GaNi6Ge crystal from the Alexandria database. Energies are from PBE.

Output
Calculated formation energy: -0.081 eV per atom
E_tot: -143.621 eV/cell

Cell: 6.0601 6.0601 10.8862 Å, 73.84 73.84 60.00°
With the nearest neighbours (Å) after each atom.
Fractional positions:
Ni: 0.1899 0.8029 0.8173  1 Ga 2.20, 1 Ge 2.32, 2 Ni 2.35
Ni: 0.3528 0.3528 0.3432  1 Ga 2.39, 2 Ni 2.43, 1 Ge 2.65
Ni: 0.0487 0.6472 0.6568  1 Ga 2.39, 2 Ni 2.43, 1 Ge 2.65
Ni: 0.1971 0.8101 0.1827  1 Ga 2.20, 1 Ge 2.32, 2 Ni 2.35
Ni: 0.3528 0.9513 0.3432  1 Ga 2.39, 2 Ni 2.43, 1 Ge 2.65
Pu: 0.6977 0.6977 0.9068  9 Ni 2.94-3.19
Pu: 0.1395 0.1395 0.5814  6 Ni 2.78-2.83
Ni: 0.6472 0.0487 0.6568  1 Ga 2.39, 2 Ni 2.43, 1 Ge 2.65
Ge: 0.5000 0.5000 0.5000  6 Ni 2.65, 2 Ga 2.77
Pu: 0.8605 0.8605 0.4186  6 Ni 2.78-2.83
Ni: 0.8029 0.1899 0.8173  1 Ga 2.20, 1 Ge 2.32, 2 Ni 2.35
Ni: 0.1899 0.1899 0.8173  1 Ga 2.20, 1 Ge 2.32, 2 Ni 2.35
Ni: 0.8101 0.8101 0.1827  1 Ga 2.20, 1 Ge 2.32, 2 Ni 2.35
Pu: 0.3023 0.3023 0.0932  9 Ni 2.94-3.19
Ni: 0.8101 0.1971 0.1827  1 Ga 2.20, 1 Ge 2.32, 2 Ni 2.35
Ni: 0.6472 0.6472 0.6568  1 Ga 2.39, 2 Ni 2.43, 1 Ge 2.65
Ni: 0.9513 0.3528 0.3432  1 Ga 2.39, 2 Ni 2.43, 1 Ge 2.65
Ga: 0.5896 0.5896 0.2312  6 Ni 2.20-2.39
Ga: 0.4104 0.4104 0.7688  6 Ni 2.20-2.39
Ge: 0.0000 0.0000 0.0000  6 Ni 2.32

Copy entry 3 word for word.
Here is a relaxed Pu2GaNi6Ge crystal from the Alexandria database. Energies are from PBE.

Output
Calculated formation energy: -0.081 eV per atom
E_tot: -143.621 eV/cell

Cell: 6.0601 6.0601 10.8862 Å, 73.84 73.84 60.00°
With the nearest neighbours (Å) after each atom.
Fractional positions:
Ni: 0.1899 0.8029 0.8173  1 Ga 2.20, 1 Ge 2.32, 2 Ni 2.35
Ni: 0.3528 0.3528 0.3432  1 Ga 2.39, 2 Ni 2.43, 1 Ge 2.65
Ni: 0.0487 0.6472 0.6568  1 Ga 2.39, 2 Ni 2.43, 1 Ge 2.65
Ni: 0.1971 0.8101 0.1827  1 Ga 2.20, 1 Ge 2.32, 2 Ni 2.35
Ni: 0.3528 0.9513 0.3432  1 Ga 2.39, 2 Ni 2.43, 1 Ge 2.65
Pu: 0.6977 0.6977 0.9068  9 Ni 2.94-3.19
Pu: 0.1395 0.1395 0.5814  6 Ni 2.78-2.83
Ni: 0.6472 0.0487 0.6568  1 Ga 2.39, 2 Ni 2.43, 1 Ge 2.65
Ge: 0.5000 0.5000 0.5000  6 Ni 2.65, 2 Ga 2.77
Pu: 0.8605 0.8605 0.4186  6 Ni 2.78-2.83
Ni: 0.8029 0.1899 0.8173  1 Ga 2.20, 1 Ge 2.32, 2 Ni 2.35
Ni: 0.1899 0.1899 0.8173  1 Ga 2.20, 1 Ge 2.32, 2 Ni 2.35
Ni: 0.8101 0.8101 0.1827  1 Ga 2.20, 1 Ge 2.32, 2 Ni 2.35
Pu: 0.3023 0.3023 0.0932  9 Ni 2.94-3.19
Ni: 0.8101 0.1971 0.1827  1 Ga 2.20, 1 Ge 2.32, 2 Ni 2.35
Ni: 0.6472 0.6472 0.6568  1 Ga 2.39, 2 Ni 2.43, 1 Ge 2.65
Ni: 0.9513 0.3528 0.3432  1 Ga 2.39, 2 Ni 2.43, 1 Ge 2.65
Ga: 0.5896 0.5896 0.2312  6 Ni 2.20-2.39
Ga: 0.4104 0.4104 0.7688  6 Ni 2.20-2.39
Ge: 0.0000 0.0000 0.0000  6 Ni 2.32